Entry 1:
{"formula": "BaI2NF", "functional": "PBE-GGA", "state": "optimized geometry", "lattice": [[6.791, 0.000, 0.000], [0.000, 6.791, 0.000], [0.000, 0.000, 5.543]], "species": ["Ba", "I", "I", "N", "F"], "frac_coords": [[0.000, 0.000, 0.000], [0.000, 0.500, 0.000], [0.500, 0.000, 0.000], [0.000, 0.000, 0.500], [0.500, 0.500, 0.500]], "raw_formation_energy_ev_per_atom": 0.19, "final_energy_ev_per_atom": -2.854, "e_above_lowest_polymorph_mev_per_atom": 225, "m_tot_mub_per_cell": 4.0}

=====

Entry 2:
{"formula": "BaIN2F", "functional": "PBE-GGA", "state": "optimized geometry", "lattice": [[5.134, 0.000, 0.000], [0.000, 5.134, 0.000], [0.000, 0.000, 4.384]], "species": ["Ba", "I", "N", "N", "F"], "frac_coords": [[0.000, 0.000, 0.000], [0.500, 0.500, 0.000], [0.000, 0.500, 0.500], [0.500, 0.000, 0.500], [0.500, 0.500, 0.500]], "raw_formation_energy_ev_per_atom": 0.86, "final_energy_ev_per_atom": -3.540, "e_above_lowest_polymorph_mev_per_atom": 868, "m_tot_mub_per_cell": 4.3}

=====

Entry 3:
{"formula": "BaI2NF", "functional": "PBE-GGA", "state": "optimized geometry", "lattice": [[5.547, 0.000, 0.000], [0.000, 5.547, 0.000], [0.000, 0.000, 4.921]], "species": ["Ba", "I", "I", "N", "F"], "frac_coords": [[0.000, 0.000, 0.000], [0.000, 0.500, 0.500], [0.500, 0.000, 0.500], [0.500, 0.500, 0.000], [0.500, 0.500, 0.500]], "raw_formation_energy_ev_per_atom": -0.04, "final_energy_ev_per_atom": -3.080, "e_above_lowest_polymorph_mev_per_atom": 0, "m_tot_mub_per_cell": 2.2}

=====

Entry 4:
{"formula": "BaINF2", "functional": "PBE-GGA", "state": "optimized geometry", "lattice": [[5.111, 0.000, 0.000], [0.000, 5.111, 0.000], [0.000, 0.000, 4.154]], "species": ["Ba", "I", "N", "F", "F"], "frac_coords": [[0.000, 0.000, 0.000], [0.500, 0.500, 0.500], [0.500, 0.500, 0.000], [0.000, 0.500, 0.500], [0.500, 0.000, 0.500]], "raw_formation_energy_ev_per_atom": -0.95, "final_energy_ev_per_atom": -4.056, "e_above_lowest_polymorph_mev_per_atom": 0, "m_tot_mub_per_cell": 0.0}

=====

Entry 5:
{"formula": "BaINF2", "functional": "PBE-GGA", "state": "optimized geometry", "lattice": [[5.033, 0.000, 0.000], [0.000, 5.033, 0.000], [0.000, 0.000, 6.101]], "species": ["Ba", "I", "N", "F", "F"], "frac_coords": [[0.000, 0.000, 0.000], [0.500, 0.500, 0.500], [0.000, 0.000, 0.500], [0.000, 0.500, 0.000], [0.500, 0.000, 0.000]], "raw_formation_energy_ev_per_atom": -0.83, "final_energy_ev_per_atom": -3.943, "e_above_lowest_polymorph_mev_per_atom": 113, "m_tot_mub_per_cell": 4.1}

=====

Entry 6:
{"formula": "BaIN2F", "functional": "PBE-GGA", "state": "optimized geometry", "lattice": [[4.181, 0.000, 0.000], [0.000, 4.181, 0.000], [0.000, 0.000, 5.060]], "species": ["Ba", "I", "N", "N", "F"], "frac_coords": [[0.000, 0.000, 0.000], [0.500, 0.500, 0.500], [0.000, 0.500, 0.500], [0.500, 0.000, 0.500], [0.500, 0.500, 0.000]], "raw_formation_energy_ev_per_atom": -0.01, "final_energy_ev_per_atom": -4.409, "e_above_lowest_polymorph_mev_per_atom": 0, "m_tot_mub_per_cell": 0.0}